# LiGeN2F

LiGeN2F after structural relaxation (PBE, the Alexandria database).

The value obtained for the volume is 57 Å³/f.u. The calculation puts the distance to the lowest polymorph of the same formula at 76.3 kJ/mol of atoms. For the uncorrected formation energy, the calculation gives 763 meV/atom.

The space group is P4/mmm (No. 123) and the conventional cell measures 4.070, 4.070 and 3.461 Å, with angles of 90.00, 90.00 and 90.00 degrees. The asymmetric unit holds Li at (0.000, 0.000, 0.000), Ge at (0.500, 0.500, 0.500), N at (0.000, 0.500, 0.000) and F at (0.000, 0.000, 0.500).


# Na2LiGeF5

Na2LiGeF5 after structural relaxation (PBE, the Alexandria database).

The value obtained for the volume is 134 Å³/f.u. For the uncorrected formation energy, the calculation gives -2494 meV/atom.

The space group is Cmc2_1 (No. 36) and the conventional cell measures 3.277, 15.705 and 10.378 Å, with angles of 90.00, 90.00 and 90.00 degrees. The asymmetric unit holds Na at (0.000, 0.126, 0.000), Na at (0.000, 0.195, 0.701), Li at (0.000, 0.217, 0.432), Ge at (0.000, 0.446, 0.811), F at (0.000, 0.085, 0.438), F at (0.000, 0.268, 0.053), F at (0.000, 0.326, 0.800), F at (0.000, 0.331, 0.354) and F at (0.000, 0.436, 0.619).


# NaLi2GeF8

NaLi2GeF8 after structural relaxation (PBE, the Alexandria database).

The value obtained for the volume is 143 Å³/f.u. For the uncorrected formation energy, the calculation gives -2492 meV/atom.

The space group is P2/m (No. 10) and the conventional cell measures 4.616, 6.565 and 4.721 Å, with angles of 90.00, 90.48 and 90.00 degrees. The asymmetric unit holds Na at (0.000, 0.000, 0.000), Li at (0.500, 0.278, 0.500), Ge at (0.000, 0.500, 0.000), F at (0.204, 0.298, 0.824), F at (0.266, 0.500, 0.292) and F at (0.318, 0.000, 0.393).